Arrangement w

First-principles (PBE) data for NiPRhCl2 after structural relaxation, as listed in Alexandria.

abc: 4.530 4.530 4.467
angles: 90.00 90.00 90.00
Sites, in units of the cell vectors:
Rh 0.500 0.500 0.500
Cl 0.500 0.000 0.000
P 0.000 0.000 0.500
Ni 0.000 0.000 0.000
Cl 0.000 0.500 0.000

Results
**Symmetry**: No. 123
**V**: 18.3 A^3/atom

=====

Arrangement x

First-principles (PBE) data for NiPRhCl2 after structural relaxation, as listed in Alexandria.

abc: 4.965 4.965 4.411
angles: 90.00 90.00 90.00
Sites, in units of the cell vectors:
Rh 0.000 0.000 0.000
Ni 0.500 0.500 0.500
P 0.000 0.000 0.500
Cl 0.000 0.500 0.000
Cl 0.500 0.000 0.000

Results
**Symmetry**: No. 123
**V**: 21.7 A^3/atom

=====

arrangement x wins, 23 meV/atom ahead of the next structure.